Record 1
The following is a DFT calculation (PBE-GGA) of a geometry-optimized LaHo2ThSc4 structure.

Geometry as POSCAR:
```
LaHo2ThSc4
1.0
5.043 0.000 0.000
0.000 5.043 0.000
0.000 0.000 8.955
La Ho Th Sc
1 2 1 4
direct
0.000 0.000 0.000
0.000 0.000 0.500
0.500 0.500 0.000
0.500 0.500 0.500
0.000 0.500 0.255
0.000 0.500 0.745
0.500 0.000 0.255
0.500 0.000 0.745
```

## Properties
total energy = -46.46 eV for the cell shown
symmetry = P4/mmm, No. 123
size of the total moment = 0.00 μB/f.u.
formation energy = 47 meV per atom

***

Record 2
The following is a DFT calculation (PBE-GGA) of a geometry-optimized KTlIO2 structure.

Geometry as POSCAR:
```
KTlIO2
1.0
4.551 0.000 0.000
0.000 4.551 0.000
0.000 0.000 6.311
K Tl I O
1 1 1 2
direct
0.000 0.000 0.000
0.500 0.500 0.500
0.500 0.500 0.000
0.000 0.500 0.500
0.500 0.000 0.500
```

## Properties
total energy = -16.87 eV for the cell shown
symmetry = P4/mmm, No. 123
distance to the lowest polymorph of the same formula = 0 meV per atom
formation energy without anion corrections = -0.388 eV per atom
size of the total moment = 1.08 μB/f.u.